Density functional theory data (PBE) for an optimized crystal structure of Hg5Se4.

POSCAR file:
```
Hg5Se4
1.0
-2.407 -7.155 2.506
3.845 6.916 0.807
-7.103 3.318 1.345
Hg Se
5 4
Cartesian
-4.255 2.132 2.001
1.762 2.227 1.373
-0.324 -2.466 1.940
-1.410 0.948 2.658
0.000 0.000 0.000
-3.359 -1.355 1.360
-6.152 -2.482 2.491
-2.107 6.620 1.392
-1.151 3.615 0.760
```

Output
Total magnetization in μB/atom: 0.0000
Relative energy among the computed polymorphs in eV/atom: 0.2641
Energy relative to the elements, uncorrected in eV/f.u.: 2.82
D(E_F) in states/eV per cell: 6.4